This record from Alexandria via LeMat-Bulk describes a geometry-optimized Be2MoRh structure. The functional is PBE.

Unit cell a=5.695 b=5.695 c=5.695 alpha=90.00 beta=90.00 gamma=90.00
Space group Fm-3m (No. 225)
Asymmetric unit:
Be: 0.250 0.250 0.250 [8 per cell]
Mo: 0.000 0.000 0.000 [4 per cell]
Rh: 0.000 0.000 0.500 [4 per cell]

The density of states at the Fermi level comes out at 0.603 states/eV per atom. For the calculated volume, the calculation gives 184.7 Å³/cell. The calculation puts the energy above the most stable polymorph in this dataset at 185 meV per atom. The value obtained for the energy of formation is -0.111 eV/atom. The electronic total energy is -104.31 eV per cell.